! Rb2HgSb PBE optimized geometry; values from VASP
&SYSTEM
  ibrav = 0, nat = 4, ntyp = 3
/
ATOMIC_SPECIES
Rb 85.47 Rb.upf
Hg 200.59 Hg.upf
Sb 121.76 Sb.upf
ATOMIC_POSITIONS crystal
Rb 0.2500 0.2500 0.2500
Rb 0.7500 0.7500 0.7500
Hg 0.0000 0.0000 0.0000
Sb 0.5000 0.5000 0.5000
CELL_PARAMETERS angstrom
0.0000 4.3910 4.3910
4.3910 0.0000 4.3910
4.3910 4.3910 0.0000
! energy above the most stable polymorph in this dataset = 0.42 eV per formula unit
! uncorrected energy = -7.2 eV/cell
! N(E_F) = 0.842 states/eV/atom
! uncorrected formation energy = -0.86 eV/f.u.
! mass density = 4.8 Mg/m³

=====

! RbHgSb2 PBE optimized geometry; values from VASP
&SYSTEM
  ibrav = 0, nat = 16, ntyp = 3
/
ATOMIC_SPECIES
Rb 85.47 Rb.upf
Hg 200.59 Hg.upf
Sb 121.76 Sb.upf
ATOMIC_POSITIONS crystal
Rb 0.1419 0.2500 0.1509
Rb 0.3581 0.7500 0.6509
Rb 0.6419 0.2500 0.3491
Rb 0.8581 0.7500 0.8491
Hg 0.1554 0.2500 0.4271
Hg 0.3446 0.7500 0.9271
Hg 0.6554 0.2500 0.0729
Hg 0.8446 0.7500 0.5729
Sb 0.0603 0.2500 0.6569
Sb 0.1784 0.2500 0.8589
Sb 0.3216 0.7500 0.3589
Sb 0.4397 0.7500 0.1569
Sb 0.5603 0.2500 0.8431
Sb 0.6784 0.2500 0.6411
Sb 0.8216 0.7500 0.1411
Sb 0.9397 0.7500 0.3431
CELL_PARAMETERS angstrom
7.4552 0.0000 0.0000
0.0000 5.9726 0.0000
0.0000 0.0000 13.5650
! uncorrected energy = -40.5 eV/cell
! N(E_F) = 0.469 states/eV/atom
! uncorrected formation energy = -0.62 eV/f.u.
! mass density = 5.8 Mg/m³

=====

! Rb3Hg2Sb PBE optimized geometry; values from VASP
&SYSTEM
  ibrav = 0, nat = 24, ntyp = 3
/
ATOMIC_SPECIES
Rb 85.47 Rb.upf
Hg 200.59 Hg.upf
Sb 121.76 Sb.upf
ATOMIC_POSITIONS crystal
Rb 0.1732 0.0542 0.3730
Rb 0.1732 0.4458 0.8730
Rb 0.2648 0.6808 0.1956
Rb 0.2648 0.8192 0.6956
Rb 0.2666 0.0815 0.0089
Rb 0.2666 0.4185 0.5089
Rb 0.7334 0.5815 0.4911
Rb 0.7334 0.9185 0.9911
Rb 0.7352 0.1808 0.3044
Rb 0.7352 0.3192 0.8044
Rb 0.8268 0.5542 0.1270
Rb 0.8268 0.9458 0.6270
Hg 0.0740 0.7190 0.4359
Hg 0.0740 0.7810 0.9359
Hg 0.4737 0.0972 0.7121
Hg 0.4737 0.4028 0.2121
Hg 0.5263 0.5972 0.7879
Hg 0.5263 0.9028 0.2879
Hg 0.9260 0.2190 0.0641
Hg 0.9260 0.2810 0.5641
Sb 0.1674 0.1512 0.6952
Sb 0.1674 0.3488 0.1952
Sb 0.8326 0.6512 0.8048
Sb 0.8326 0.8488 0.3048
CELL_PARAMETERS angstrom
9.5224 0.0000 0.0000
0.0000 10.9732 0.0000
-1.2744 0.0000 11.5933
! uncorrected energy = -37.5 eV/cell
! uncorrected formation energy = -1.75 eV/f.u.
! mass density = 4.3 Mg/m³

=====

! RbHg4Sb PBE optimized geometry; values from VASP
&SYSTEM
  ibrav = 0, nat = 12, ntyp = 3
/
ATOMIC_SPECIES
Rb 85.47 Rb.upf
Hg 200.59 Hg.upf
Sb 121.76 Sb.upf
ATOMIC_POSITIONS crystal
Rb 0.1018 0.8982 0.7500
Rb 0.8982 0.1018 0.2500
Hg 0.1700 0.8300 0.2500
Hg 0.2880 0.7120 0.0104
Hg 0.2880 0.7120 0.4896
Hg 0.5000 0.5000 0.0000
Hg 0.5000 0.5000 0.5000
Hg 0.7120 0.2880 0.5104
Hg 0.7120 0.2880 0.9896
Hg 0.8300 0.1700 0.7500
Sb 0.4119 0.5881 0.7500
Sb 0.5881 0.4119 0.2500
CELL_PARAMETERS angstrom
2.6378 -12.6675 0.0000
2.6378 12.6675 0.0000
0.0000 0.0000 6.5040
! energy above the most stable polymorph in this dataset = 0.00 eV per formula unit
! uncorrected energy = -14.1 eV/cell
! N(E_F) = 0.153 states/eV/atom
! uncorrected formation energy = -0.74 eV/f.u.
! mass density = 7.7 Mg/m³